# 1
A geometry-optimized Be2ReBi structure, computed with PBE-GGA.

Computed properties:
ΔH_f (0 K): 1.0570 eV per atom
total magnetization: 0.00 μB per atom
calculated total energy: -4.89 eV/atom

CIF file:
```
data_Be2ReBi
_cell_length_a 6.8335
_cell_length_b 6.8335
_cell_length_c 5.7149
_cell_angle_alpha 90.00
_cell_angle_beta 90.00
_cell_angle_gamma 90.00
_space_group_name_H-M_alt 'I -4 2 d'
_space_group_IT_number 122
_space_group_name_Hall 'I -4 2bw'
loop_
_atom_site_label
_atom_site_type_symbol
_atom_site_fract_x
_atom_site_fract_y
_atom_site_fract_z
Be1 Be 0.1997 0.7500 0.1250
Re1 Re 0.0000 0.0000 0.0000
Bi1 Bi 0.0000 0.0000 0.5000
```

# 2
A geometry-optimized BeRe2Bi2 structure, computed with PBE-GGA.

Computed properties:
ΔH_f (0 K): 1.5212 eV per atom
excess energy over the best structure of this formula in the dataset: 572 meV/atom
total magnetization: 0.01 μB per atom
calculated total energy: -5.76 eV/atom

CIF file:
```
data_BeRe2Bi2
_cell_length_a 7.9477
_cell_length_b 7.9477
_cell_length_c 3.2107
_cell_angle_alpha 90.00
_cell_angle_beta 90.00
_cell_angle_gamma 90.00
_space_group_name_H-M_alt 'P 4/m b m'
_space_group_IT_number 127
_space_group_name_Hall '-P 4 2ab'
loop_
_atom_site_label
_atom_site_type_symbol
_atom_site_fract_x
_atom_site_fract_y
_atom_site_fract_z
Be1 Be 0.0000 0.0000 0.0000
Re1 Re 0.1464 0.3536 0.5000
Bi1 Bi 0.1528 0.6528 0.0000
```

# 3
A geometry-optimized BeReBi2 structure, computed with PBE-GGA.

Computed properties:
ΔH_f (0 K): 1.1814 eV per atom
total magnetization: 0.33 μB per atom
calculated total energy: -4.80 eV/atom

CIF file:
```
data_BeReBi2
_cell_length_a 6.1312
_cell_length_b 6.1312
_cell_length_c 11.8944
_cell_angle_alpha 90.00
_cell_angle_beta 90.00
_cell_angle_gamma 90.00
_space_group_name_H-M_alt 'I -4 2 d'
_space_group_IT_number 122
_space_group_name_Hall 'I -4 2bw'
loop_
_atom_site_label
_atom_site_type_symbol
_atom_site_fract_x
_atom_site_fract_y
_atom_site_fract_z
Be1 Be 0.0000 0.0000 0.0000
Re1 Re 0.0000 0.0000 0.5000
Bi1 Bi 0.2272 0.2500 0.1250
```

# 4
A geometry-optimized Be3ReBi structure, computed with PBE-GGA.

Computed properties:
ΔH_f (0 K): 2.2206 eV per atom
excess energy over the best structure of this formula in the dataset: 1385 meV/atom
total magnetization: 0.45 μB per atom
calculated total energy: -3.28 eV/atom

CIF file:
```
data_Be3ReBi
_cell_length_a 4.5762
_cell_length_b 4.5762
_cell_length_c 4.5762
_cell_angle_alpha 90.00
_cell_angle_beta 90.00
_cell_angle_gamma 90.00
_space_group_name_H-M_alt 'P m -3 m'
_space_group_IT_number 221
_space_group_name_Hall '-P 4 2 3'
loop_
_atom_site_label
_atom_site_type_symbol
_atom_site_fract_x
_atom_site_fract_y
_atom_site_fract_z
Be1 Be 0.0000 0.0000 0.5000
Re1 Re 0.5000 0.5000 0.5000
Bi1 Bi 0.0000 0.0000 0.0000
```

# 5
A geometry-optimized BeRe2Bi structure, computed with PBE-GGA.

Computed properties:
ΔH_f (0 K): 1.0299 eV per atom
excess energy over the best structure of this formula in the dataset: 241 meV/atom
total magnetization: 0.00 μB per atom
calculated total energy: -7.10 eV/atom

CIF file:
```
data_BeRe2Bi
_cell_length_a 6.3348
_cell_length_b 6.3348
_cell_length_c 6.3348
_cell_angle_alpha 90.00
_cell_angle_beta 90.00
_cell_angle_gamma 90.00
_space_group_name_H-M_alt 'F m -3 m'
_space_group_IT_number 225
_space_group_name_Hall '-F 4 2 3'
loop_
_atom_site_label
_atom_site_type_symbol
_atom_site_fract_x
_atom_site_fract_y
_atom_site_fract_z
Be1 Be 0.0000 0.0000 0.0000
Re1 Re 0.2500 0.2500 0.2500
Bi1 Bi 0.0000 0.0000 0.5000
```

# 6
A geometry-optimized BeReBiS2 structure, computed with PBE-GGA.

Computed properties:
formation energy (no corrections): 5.3 eV per formula unit
total magnetization: 0.65 μB per atom
calculated total energy: -4.60 eV/atom

CIF file:
```
data_BeReBiS2
_cell_length_a 4.0744
_cell_length_b 4.0744
_cell_length_c 6.9599
_cell_angle_alpha 90.00
_cell_angle_beta 90.00
_cell_angle_gamma 90.00
_space_group_name_H-M_alt 'P 4/m m m'
_space_group_IT_number 123
_space_group_name_Hall '-P 4 2'
loop_
_atom_site_label
_atom_site_type_symbol
_atom_site_fract_x
_atom_site_fract_y
_atom_site_fract_z
Be1 Be 0.0000 0.0000 0.0000
Re1 Re 0.5000 0.5000 0.5000
Bi1 Bi 0.0000 0.0000 0.5000
S1 S 0.0000 0.5000 0.0000
```

# 7
A geometry-optimized BeReBi2Se structure, computed with PBE-GGA.

Computed properties:
formation energy (no corrections): 5.2 eV per formula unit
total magnetization: 0.00 μB per atom
calculated total energy: -4.44 eV/atom

CIF file:
```
data_BeReBi2Se
_cell_length_a 5.5249
_cell_length_b 5.5249
_cell_length_c 4.6046
_cell_angle_alpha 90.00
_cell_angle_beta 90.00
_cell_angle_gamma 90.00
_space_group_name_H-M_alt 'P 4/m m m'
_space_group_IT_number 123
_space_group_name_Hall '-P 4 2'
loop_
_atom_site_label
_atom_site_type_symbol
_atom_site_fract_x
_atom_site_fract_y
_atom_site_fract_z
Be1 Be 0.0000 0.0000 0.0000
Re1 Re 0.5000 0.5000 0.5000
Bi1 Bi 0.0000 0.5000 0.5000
Se1 Se 0.5000 0.5000 0.0000
```

# 8
A geometry-optimized TaBe2ReBi structure, computed with PBE-GGA.

Computed properties:
ΔH_f (0 K): 1.4218 eV per atom
total magnetization: 0.00 μB per atom
calculated total energy: -5.71 eV/atom

CIF file:
```
data_TaBe2ReBi
_cell_length_a 4.2734
_cell_length_b 4.2734
_cell_length_c 5.1652
_cell_angle_alpha 90.00
_cell_angle_beta 90.00
_cell_angle_gamma 90.00
_space_group_name_H-M_alt 'P 4/m m m'
_space_group_IT_number 123
_space_group_name_Hall '-P 4 2'
loop_
_atom_site_label
_atom_site_type_symbol
_atom_site_fract_x
_atom_site_fract_y
_atom_site_fract_z
Ta1 Ta 0.0000 0.0000 0.0000
Be1 Be 0.0000 0.5000 0.5000
Re1 Re 0.5000 0.5000 0.5000
Bi1 Bi 0.5000 0.5000 0.0000
```

# 9
A geometry-optimized BeBi2Rh structure, computed with PBE-GGA.

Computed properties:
ΔH_f (0 K): 0.4398 eV per atom
total magnetization: 0.00 μB per atom
calculated total energy: -4.27 eV/atom

CIF file:
```
data_BeBi2Rh
_cell_length_a 6.0642
_cell_length_b 6.0642
_cell_length_c 11.5731
_cell_angle_alpha 90.00
_cell_angle_beta 90.00
_cell_angle_gamma 90.00
_space_group_name_H-M_alt 'I -4 2 d'
_space_group_IT_number 122
_space_group_name_Hall 'I -4 2bw'
loop_
_atom_site_label
_atom_site_type_symbol
_atom_site_fract_x
_atom_site_fract_y
_atom_site_fract_z
Be1 Be 0.0000 0.0000 0.0000
Bi1 Bi 0.2318 0.2500 0.1250
Rh1 Rh 0.0000 0.0000 0.5000
```

# 10
A geometry-optimized Be3BiRh structure, computed with PBE-GGA.

Computed properties:
ΔH_f (0 K): 1.6961 eV per atom
excess energy over the best structure of this formula in the dataset: 1370 meV/atom
total magnetization: 0.00 μB per atom
calculated total energy: -2.79 eV/atom

CIF file:
```
data_Be3BiRh
_cell_length_a 4.5752
_cell_length_b 4.5752
_cell_length_c 4.5752
_cell_angle_alpha 90.00
_cell_angle_beta 90.00
_cell_angle_gamma 90.00
_space_group_name_H-M_alt 'P m -3 m'
_space_group_IT_number 221
_space_group_name_Hall '-P 4 2 3'
loop_
_atom_site_label
_atom_site_type_symbol
_atom_site_fract_x
_atom_site_fract_y
_atom_site_fract_z
Be1 Be 0.0000 0.0000 0.5000
Bi1 Bi 0.0000 0.0000 0.0000
Rh1 Rh 0.5000 0.5000 0.5000
```

# 11
A geometry-optimized BeBi2Rh2 structure, computed with PBE-GGA.

Computed properties:
ΔH_f (0 K): 0.4602 eV per atom
excess energy over the best structure of this formula in the dataset: 0 meV/atom
total magnetization: 0.00 μB per atom
calculated total energy: -4.78 eV/atom

CIF file:
```
data_BeBi2Rh2
_cell_length_a 7.6838
_cell_length_b 7.6838
_cell_length_c 3.4291
_cell_angle_alpha 90.00
_cell_angle_beta 90.00
_cell_angle_gamma 90.00
_space_group_name_H-M_alt 'P 4/m b m'
_space_group_IT_number 127
_space_group_name_Hall '-P 4 2ab'
loop_
_atom_site_label
_atom_site_type_symbol
_atom_site_fract_x
_atom_site_fract_y
_atom_site_fract_z
Be1 Be 0.0000 0.0000 0.0000
Bi1 Bi 0.1602 0.3398 0.0000
Rh1 Rh 0.1359 0.6359 0.5000
```

# 12
A geometry-optimized BeBi2Rh2 structure, computed with PBE-GGA.

Computed properties:
ΔH_f (0 K): 0.4685 eV per atom
excess energy over the best structure of this formula in the dataset: 8 meV/atom
total magnetization: 0.00 μB per atom
calculated total energy: -4.77 eV/atom

CIF file:
```
data_BeBi2Rh2
_cell_length_a 3.8631
_cell_length_b 3.8631
_cell_length_c 14.8182
_cell_angle_alpha 90.00
_cell_angle_beta 90.00
_cell_angle_gamma 90.00
_space_group_name_H-M_alt 'I 4/m m m'
_space_group_IT_number 139
_space_group_name_Hall '-I 4 2'
loop_
_atom_site_label
_atom_site_type_symbol
_atom_site_fract_x
_atom_site_fract_y
_atom_site_fract_z
Be1 Be 0.0000 0.0000 0.0000
Bi1 Bi 0.0000 0.0000 0.3832
Rh1 Rh 0.0000 0.5000 0.2500
```